Record 1
First-principles (PBEsol) data for an optimized crystal structure of SrLiSc2, as listed in Alexandria via LeMat-Bulk.

Results
The crystal system is orthorhombic. The relative energy among the computed polymorphs is 209 meV per atom. The formation energy comes out at 0.404 eV/atom. The calculation puts the total energy at -3.85 eV per atom.

a = 3.297 Å, b = 5.384 Å, c = 6.213 Å
α = 90.00°, β = 90.00°, γ = 90.00°
Space group Pmmm (No. 47)
Symmetry-distinct sites (fractional):
Sr 0.000 0.000 0.000 x1
Li 0.000 0.000 0.500 x1
Sc 0.500 0.500 0.264 x2

***

Record 2
First-principles (PBEsol) data for an optimized crystal structure of SrLiSc2, as listed in Alexandria via LeMat-Bulk.

Results
The crystal system is tetragonal. The relative energy among the computed polymorphs is 0 meV per atom. The formation energy comes out at 0.195 eV/atom. The calculation puts the total energy at -4.06 eV per atom.

a = 3.550 Å, b = 3.550 Å, c = 8.938 Å
α = 90.00°, β = 90.00°, γ = 90.00°
Space group P4mm (No. 99)
Symmetry-distinct sites (fractional):
Sr 0.000 0.000 0.000 x1
Li 0.500 0.500 0.287 x1
Sc 0.000 0.000 0.487 x1
Sc 0.500 0.500 0.696 x1

***

Record 3
First-principles (PBEsol) data for an optimized crystal structure of SrLiSc, as listed in Alexandria via LeMat-Bulk.

Results
The crystal system is tetragonal. The formation energy comes out at 0.274 eV/atom. The calculation puts the total energy at -3.20 eV per atom.

a = 3.713 Å, b = 3.713 Å, c = 12.910 Å
α = 90.00°, β = 90.00°, γ = 90.00°
Space group I4mm (No. 107)
Symmetry-distinct sites (fractional):
Sr 0.000 0.000 0.000 x2
Li 0.000 0.000 0.678 x2
Sc 0.000 0.000 0.296 x2